# Zr2HPb PBE optimized geometry
data_Zr2HPb
_chemical_formula_sum 'Zr4 H2 Pb2'
_cell_length_a 9.046
_cell_length_b 5.533
_cell_length_c 3.163
_cell_angle_alpha 90.00
_cell_angle_beta 110.34
_cell_angle_gamma 90.00
_space_group_name_H-M_alt 'C 1 2/m 1'
_space_group_IT_number 12
loop_
_space_group_symop_operation_xyz
'x,y,z'
'-x,-y,-z'
'-x,y,-z'
'x,-y,z'
'x+1/2,y+1/2,z'
'-x+1/2,-y+1/2,-z'
'-x+1/2,y+1/2,-z'
'x+1/2,-y+1/2,z'
loop_
_atom_site_label
_atom_site_type_symbol
_atom_site_fract_x
_atom_site_fract_y
_atom_site_fract_z
_atom_site_occupancy
Zr1 Zr 0.182 0.000 0.183 1
H1 H 0.000 0.000 0.500 1
Pb1 Pb 0.000 0.500 0.000 1
# E_tot: -6.167 eV per atom
# crystal system: monoclinic
# mass density: 8.7 Mg/m³
# E above lowest polymorph: 170 meV per atom